[1]
Below is a geometry-optimized Dy2Al2Co15 structure, with properties calculated at the PBE-GGA level.

- M_tot (μB/f.u.) = 19.7
- calculated formation energy (meV per atom) = -174
- calculated density (g/cm³) = 8.57

The structure in CIF format:
```
data_Dy2Al2Co15
_symmetry_space_group_name_H-M 'R -3 m'
_symmetry_Int_Tables_number 166
_symmetry_space_group_name_Hall '-R 3 2"'
_cell_length_a 8.3247
_cell_length_b 8.3247
_cell_length_c 12.2331
_cell_angle_alpha 90.00
_cell_angle_beta 90.00
_cell_angle_gamma 120.00
loop_
_atom_site_label
_atom_site_type_symbol
_atom_site_fract_x
_atom_site_fract_y
_atom_site_fract_z
Dy1 Dy 0.0000 0.0000 0.1476
Al1 Al 0.0000 0.0000 0.3941
Co1 Co 0.0000 0.2870 0.5000
Co2 Co 0.0000 0.5000 0.0000
Co3 Co 0.0000 0.5000 0.3510
```



[2]
Below is a geometry-optimized Ga2Ag2Bi structure, with properties calculated at the PBE-GGA level.

- polymorph energy (0 for the lowest one) (meV per atom) = 7.2
- M_tot (μB/f.u.) = 0.0
- calculated formation energy (meV per atom) = 71
- calculated density (g/cm³) = 8.88

The structure in CIF format:
```
data_Ga2Ag2Bi
_symmetry_space_group_name_H-M 'P 4/m b m'
_symmetry_Int_Tables_number 127
_symmetry_space_group_name_Hall '-P 4 2ab'
_cell_length_a 8.063
_cell_length_b 8.063
_cell_length_c 3.247
_cell_angle_alpha 90.00
_cell_angle_beta 90.00
_cell_angle_gamma 90.00
loop_
_atom_site_label
_atom_site_type_symbol
_atom_site_fract_x
_atom_site_fract_y
_atom_site_fract_z
Ga1 Ga 0.167 0.333 0.000
Ag1 Ag 0.129 0.629 0.500
Bi1 Bi 0.000 0.000 0.500
```



[3]
Below is a geometry-optimized Dy4Y4Ho3 structure, with properties calculated at the PBE-GGA level.

- polymorph energy (0 for the lowest one) (meV per atom) = 0.0
- M_tot (μB/f.u.) = 0.0
- calculated formation energy (meV per atom) = 60
- calculated density (g/cm³) = 7.16

The structure in CIF format:
```
data_Dy4Y4Ho3
_symmetry_space_group_name_H-M 'C 1 2/m 1'
_symmetry_Int_Tables_number 12
_cell_length_a 35.919
_cell_length_b 3.508
_cell_length_c 5.593
_cell_angle_alpha 90.00
_cell_angle_beta 98.93
_cell_angle_gamma 90.00
loop_
_symmetry_equiv_pos_as_xyz
'x,y,z'
'-x,-y,-z'
'-x,y,-z'
'x,-y,z'
'x+1/2,y+1/2,z'
'-x+1/2,-y+1/2,-z'
'-x+1/2,y+1/2,-z'
'x+1/2,-y+1/2,z'
loop_
_atom_site_label
_atom_site_type_symbol
_atom_site_fract_x
_atom_site_fract_y
_atom_site_fract_z
Dy1 Dy 0.046 0.000 0.045
Dy2 Dy 0.180 0.000 0.680
Y1 Y 0.090 0.000 0.590
Y2 Y 0.233 0.000 0.233
Ho1 Ho 0.000 0.500 0.500
Ho2 Ho 0.137 0.500 0.137
```



> What is the formula in the third record?

Dy4Y4Ho3